(1)
Below is a geometry-optimized ZrReHg2 structure, with properties calculated at the PBE-GGA level.

Properties
- DFT formation energy (eV/atom) = 0.27
- electronic total energy (eV/atom) = -5.13
- energy above the most stable polymorph in this dataset (kcal/mol of atoms) = 0.00

Cell: 4.1312 4.1312 8.9737 Å, 90.00 90.00 90.00°
Space group I4/mmm (No. 139)
Inequivalent atoms, fractional coordinates:
1 Zr 0.0000 0.0000 0.0000 x2
2 Re 0.0000 0.0000 0.5000 x2
3 Hg 0.0000 0.5000 0.2500 x4

(2)
Below is a geometry-optimized ZrReHg2 structure, with properties calculated at the PBE-GGA level.

Properties
- DFT formation energy (eV/atom) = 0.60
- electronic total energy (eV/atom) = -4.80
- energy above the most stable polymorph in this dataset (kcal/mol of atoms) = 7.68

Cell: 4.0277 4.0277 20.9204 Å, 90.00 90.00 90.00°
Space group I-42d (No. 122)
Inequivalent atoms, fractional coordinates:
1 Zr 0.0000 0.0000 0.0000 x4
2 Re 0.0000 0.0000 0.5000 x4
3 Hg 0.2374 0.2500 0.6250 x8

(3)
Below is a geometry-optimized ZrReHg2 structure, with properties calculated at the PBE-GGA level.

Properties
- DFT formation energy (eV/atom) = 0.35
- electronic total energy (eV/atom) = -5.05
- energy above the most stable polymorph in this dataset (kcal/mol of atoms) = 1.99

Cell: 3.4390 4.8660 9.4993 Å, 90.00 90.00 90.00°
Space group Imm2 (No. 44)
Inequivalent atoms, fractional coordinates:
1 Zr 0.0000 0.0000 0.0000 x2
2 Re 0.0000 0.5000 0.2838 x2
3 Hg 0.0000 0.0000 0.5350 x2
4 Hg 0.0000 0.5000 0.7749 x2

(4)
Below is a geometry-optimized ZrReHg2 structure, with properties calculated at the PBE-GGA level.

Properties
- DFT formation energy (eV/atom) = 0.34
- electronic total energy (eV/atom) = -5.06
- energy above the most stable polymorph in this dataset (kcal/mol of atoms) = 1.62

Cell: 10.1262 3.1993 4.9518 Å, 90.00 102.72 90.00°
Space group C2/m (No. 12)
Inequivalent atoms, fractional coordinates:
1 Zr 0.0000 0.0000 0.0000 x2
2 Re 0.0000 0.5000 0.5000 x2
3 Hg 0.2431 0.0000 0.7409 x4

(5)
Below is a geometry-optimized ZrReHg2 structure, with properties calculated at the PBE-GGA level.

Properties
- DFT formation energy (eV/atom) = 0.32
- electronic total energy (eV/atom) = -5.08
- energy above the most stable polymorph in this dataset (kcal/mol of atoms) = 1.15

Cell: 4.1014 4.1348 4.5277 Å, 90.00 90.00 90.00°
Space group Pmmm (No. 47)
Inequivalent atoms, fractional coordinates:
1 Zr 0.0000 0.0000 0.0000 x1
2 Re 0.5000 0.5000 0.0000 x1
3 Hg 0.0000 0.5000 0.5000 x1
4 Hg 0.5000 0.0000 0.5000 x1

(6)
Below is a geometry-optimized ZrReHg2 structure, with properties calculated at the PBE-GGA level.

Properties
- DFT formation energy (eV/atom) = 0.36
- electronic total energy (eV/atom) = -5.04
- energy above the most stable polymorph in this dataset (kcal/mol of atoms) = 2.22

Cell: 2.8931 4.5312 5.8448 Å, 90.00 91.91 90.00°
Space group P2/m (No. 10)
Inequivalent atoms, fractional coordinates:
1 Zr 0.0000 0.0000 0.0000 x1
2 Re 0.0000 0.0000 0.5000 x1
3 Hg 0.4893 0.5000 0.7430 x2

(7)
Below is a geometry-optimized Zr4ReHg3 structure, with properties calculated at the PBE-GGA level.

Properties
- DFT formation energy (eV/atom) = -0.21
- electronic total energy (eV/atom) = -6.15

Cell: 3.3215 3.3215 15.2495 Å, 90.00 90.00 90.00°
Space group P4/mmm (No. 123)
Inequivalent atoms, fractional coordinates:
1 Zr 0.0000 0.0000 0.1039 x2
2 Zr 0.0000 0.0000 0.3679 x2
3 Re 0.5000 0.5000 0.0000 x1
4 Hg 0.5000 0.5000 0.2389 x2
5 Hg 0.5000 0.5000 0.5000 x1

(8)
Below is a geometry-optimized ZrReHg2 structure, with properties calculated at the PBE-GGA level.

Properties
- DFT formation energy (eV/atom) = 0.42
- electronic total energy (eV/atom) = -4.98
- energy above the most stable polymorph in this dataset (kcal/mol of atoms) = 3.54

Cell: 2.9921 2.9921 31.0127 Å, 90.00 90.00 120.00°
Space group R3m (No. 160, hexagonal axes)
Inequivalent atoms, fractional coordinates:
1 Zr 0.0000 0.0000 0.0000 x3
2 Re 0.0000 0.0000 0.2547 x3
3 Hg 0.0000 0.0000 0.5086 x3
4 Hg 0.0000 0.0000 0.7520 x3

(9)
Below is a geometry-optimized ZrReHg2 structure, with properties calculated at the PBE-GGA level.

Properties
- DFT formation energy (eV/atom) = 0.39
- electronic total energy (eV/atom) = -5.01
- energy above the most stable polymorph in this dataset (kcal/mol of atoms) = 2.75

Cell: 4.2287 4.2287 8.6313 Å, 90.00 90.00 90.00°
Space group I-4m2 (No. 119)
Inequivalent atoms, fractional coordinates:
1 Zr 0.0000 0.0000 0.0000 x2
2 Re 0.0000 0.5000 0.2500 x2
3 Hg 0.0000 0.0000 0.5000 x2
4 Hg 0.0000 0.5000 0.7500 x2

(10)
Below is a geometry-optimized ZrRe3Hg structure, with properties calculated at the PBE-GGA level.

Properties
- DFT formation energy (eV/atom) = 2.58
- electronic total energy (eV/atom) = -6.65
- energy above the most stable polymorph in this dataset (kcal/mol of atoms) = 0.00

Cell: 4.8313 4.8313 4.8313 Å, 90.00 90.00 90.00°
Space group Pm-3m (No. 221)
Inequivalent atoms, fractional coordinates:
1 Zr 0.0000 0.0000 0.0000 x1
2 Re 0.0000 0.0000 0.5000 x3
3 Hg 0.5000 0.5000 0.5000 x1

(11)
Below is a geometry-optimized ZrRe3Hg structure, with properties calculated at the PBE-GGA level.

Properties
- DFT formation energy (eV/atom) = 2.74
- electronic total energy (eV/atom) = -6.50
- energy above the most stable polymorph in this dataset (kcal/mol of atoms) = 3.49

Cell: 4.8463 4.8463 4.8463 Å, 90.00 90.00 90.00°
Space group Pm-3m (No. 221)
Inequivalent atoms, fractional coordinates:
1 Zr 0.0000 0.0000 0.0000 x1
2 Re 0.0000 0.5000 0.5000 x3
3 Hg 0.5000 0.5000 0.5000 x1

(12)
Below is a geometry-optimized ZrReHg2 structure, with properties calculated at the PBE-GGA level.

Properties
- DFT formation energy (eV/atom) = 0.45
- electronic total energy (eV/atom) = -4.95
- energy above the most stable polymorph in this dataset (kcal/mol of atoms) = 4.15

Cell: 5.7842 9.2243 2.8865 Å, 90.00 90.00 90.00°
Space group Cmmm (No. 65)
Inequivalent atoms, fractional coordinates:
1 Zr 0.0000 0.0000 0.0000 x2
2 Re 0.0000 0.5000 0.0000 x2
3 Hg 0.2500 0.2500 0.5000 x4

- The lowest DFT formation energy belongs to which entry?
  Zr4ReHg3

- electronic total energy of number 9 (ZrReHg2)?
  -5.01 eV/atom

- What is the DFT formation energy in the ninth record?
  0.39 eV/atom

- Which of these has the highest DFT formation energy?
  number 11